# 1
An optimized crystal structure of Li3AcHg. Source: Alexandria, functional GGA-PBE.

Calculated values
M_tot	1.40	μB per cell
DFT formation energy	-34.4	meV/atom

Unit cell a=6.057 b=6.935 c=6.937 alpha=120.00 beta=90.00 gamma=90.00
Fractional coordinates of all 10 atoms:
Li: 0.250 0.378 0.189
Hg: 0.500 0.000 0.000
Li: 0.750 0.189 0.378
Ac: 0.750 0.667 0.333
Li: 0.250 0.811 0.622
Li: 0.250 0.811 0.189
Li: 0.750 0.622 0.811
Ac: 0.250 0.333 0.667
Hg: 0.000 0.000 0.000
Li: 0.750 0.189 0.811


# 2
An optimized crystal structure of LiAc3Hg3. Source: Alexandria, functional GGA-PBE.

Calculated values
M_tot	0.00	μB per cell
DFT formation energy	-380.8	meV/atom

Unit cell a=4.289 b=6.776 c=16.256 alpha=84.90 beta=82.42 gamma=71.55
Fractional coordinates of all 14 atoms:
Hg: 0.858 0.736 0.547
Hg: 0.142 0.264 0.453
Hg: 0.968 0.825 0.238
Li: 0.229 0.953 0.589
Hg: 0.888 0.149 0.075
Li: 0.771 0.047 0.411
Ac: 0.738 0.756 0.768
Ac: 0.488 0.641 0.382
Ac: 0.512 0.359 0.618
Hg: 0.032 0.175 0.762
Hg: 0.112 0.851 0.925
Ac: 0.262 0.244 0.232
Ac: 0.386 0.308 0.920
Ac: 0.614 0.692 0.080


# 3
An optimized crystal structure of Li4AcHg4. Source: Alexandria, functional GGA-PBE.

Calculated values
M_tot	0.00	μB per cell
DFT formation energy	-316.7	meV/atom

Unit cell a=4.911 b=8.951 c=8.951 alpha=90.00 beta=90.00 gamma=90.00
Fractional coordinates of all 18 atoms:
Li: 0.500 0.881 0.590
Ac: 0.500 0.500 0.500
Hg: 0.500 0.135 0.754
Hg: 0.500 0.246 0.135
Li: 0.000 0.381 0.090
Hg: 0.000 0.254 0.365
Hg: 0.000 0.635 0.254
Li: 0.500 0.410 0.881
Li: 0.000 0.910 0.381
Hg: 0.000 0.365 0.746
Li: 0.000 0.090 0.619
Hg: 0.000 0.746 0.635
Hg: 0.500 0.865 0.246
Ac: 0.000 0.000 0.000
Hg: 0.500 0.754 0.865
Li: 0.500 0.119 0.410
Li: 0.000 0.619 0.910
Li: 0.500 0.590 0.119


# 4
An optimized crystal structure of Li2AcHg. Source: Alexandria, functional GGA-PBE.

Calculated values
M_tot	0.00	μB per cell
DFT formation energy	-247.8	meV/atom

Unit cell a=4.805 b=6.033 c=7.178 alpha=90.00 beta=90.00 gamma=90.00
Fractional coordinates of all 8 atoms:
Li: 0.000 0.768 0.896
Li: 0.500 0.268 0.104
Li: 0.000 0.232 0.896
Li: 0.500 0.732 0.104
Ac: 0.500 0.500 0.584
Hg: 0.000 0.500 0.218
Ac: 0.000 0.000 0.416
Hg: 0.500 0.000 0.782


# 5
An optimized crystal structure of Li2AcHg5. Source: Alexandria, functional GGA-PBE.

Calculated values
M_tot	0.00	μB per cell
DFT formation energy	-313.9	meV/atom

Unit cell a=4.432 b=7.381 c=7.381 alpha=59.63 beta=72.53 gamma=72.53
Fractional coordinates of all 8 atoms:
Hg: 0.642 0.575 0.142
Li: 0.775 0.725 0.725
Li: 0.225 0.275 0.275
Hg: 0.642 0.142 0.575
Hg: 0.000 0.500 0.500
Ac: 0.000 0.000 0.000
Hg: 0.358 0.425 0.858
Hg: 0.358 0.858 0.425


# 6
An optimized crystal structure of Li5Ac2Hg4. Source: Alexandria, functional GGA-PBE.

Calculated values
M_tot	0.00	μB per cell
DFT formation energy	-327.7	meV/atom

Unit cell a=5.895 b=5.895 c=9.272 alpha=99.42 beta=99.42 gamma=119.03
Fractional coordinates of all 11 atoms:
Li: 0.500 0.000 0.000
Ac: 0.856 0.856 0.712
Li: 0.750 0.250 0.500
Hg: 0.532 0.210 0.742
Hg: 0.468 0.790 0.258
Ac: 0.144 0.144 0.288
Li: 0.000 0.500 0.000
Li: 0.500 0.500 0.000
Hg: 0.210 0.532 0.742
Li: 0.250 0.750 0.500
Hg: 0.790 0.468 0.258


# 7
An optimized crystal structure of Li4Ac3Hg2. Source: Alexandria, functional GGA-PBE.

Calculated values
M_tot	0.00	μB per cell
DFT formation energy	-183.4	meV/atom

Unit cell a=5.103 b=6.350 c=9.731 alpha=114.53 beta=90.00 gamma=113.69
Fractional coordinates of all 9 atoms:
Ac: 0.322 0.644 0.352
Ac: 0.678 0.356 0.648
Li: 0.287 0.575 0.950
Li: 0.974 0.949 0.639
Ac: 0.000 0.000 0.000
Li: 0.713 0.425 0.050
Hg: 0.417 0.834 0.741
Li: 0.026 0.051 0.361
Hg: 0.583 0.166 0.259


# 8
An optimized crystal structure of LiAc3Hg2. Source: Alexandria, functional GGA-PBE.

Calculated values
M_tot	0.01	μB per cell
DFT formation energy	-314.1	meV/atom

Unit cell a=4.091 b=5.663 c=9.023 alpha=108.29 beta=90.00 gamma=90.00
Fractional coordinates of all 6 atoms:
Ac: 0.500 0.170 0.340
Ac: 0.500 0.830 0.660
Hg: 0.000 0.342 0.684
Li: 0.000 0.000 0.000
Hg: 0.000 0.658 0.316
Ac: 0.500 0.500 0.000


| no. | density of states at the Fermi level (states/eV/f.u.) |
| --- | --- |
| 1 | 4.8 |
| 2 | 7.2 |
| 3 | 4.6 |
| 4 | 2.9 |
| 5 | 4.6 |
| 6 | 5.0 |
| 7 | 6.8 |
| 8 | 7.3 |